Record 1
VASP calculation (GGA-PBE) on ZrNbN2 after structural relaxation.

```
16
Lattice="5.5642 0.0000 -0.0040 0.0000 5.3704 0.0000 0.0044 0.0000 6.2001" Properties=species:S:1:pos:R:3 pbc="T T T"
Zr 4.1760 0.4415 3.8910
Zr 1.3939 2.2437 3.8930
Zr 1.3927 4.9290 2.3051
Zr 4.1748 3.1267 2.3032
Nb 1.3917 2.2320 0.7518
Nb 1.3948 4.9172 5.4464
Nb 4.1738 0.4532 0.7498
Nb 4.1769 3.1385 5.4444
N 2.7826 4.0279 0.7261
N 5.5647 4.0277 0.7241
N 0.0017 1.3427 2.2759
N 0.0039 1.3427 5.4721
N 5.5669 4.0277 3.9203
N 2.7848 4.0279 3.9223
N 2.7860 1.3425 5.4701
N 2.7838 1.3425 2.2739
```

Calculated values
Energy relative to the elements, uncorrected (meV/atom): -1332
Space-group type: No. 57
E_tot (eV per atom): -10.1487

Record 2
VASP calculation (GGA-PBE) on In2CuRh after structural relaxation.

```
4
Lattice="4.6396 -0.0010 -0.0148 3.5710 2.9621 -0.0148 0.9974 0.3597 5.1984" Properties=species:S:1:pos:R:3 pbc="T T T"
Cu 6.9060 2.4906 3.8766
In 8.1933 2.9549 -0.0210
In 4.6213 1.6667 2.5758
Rh 2.3020 0.8302 1.2922
```

Calculated values
Space-group type: No. 12
E_tot (eV per atom): -4.2423
Energy relative to the elements (eV/atom): -0.011

Q: What is the formula in the second record?
A: In2CuRh

Q: Number 1 is which compound?
A: ZrNbN2

Q: E_tot of number 1 (ZrNbN2)?
A: -10.1487 eV per atom

Q: Look up the E_tot of the first one.
A: -10.1487 eV per atom